No. 1
VASP calculation (PBE) on an optimized crystal structure of Ba2ScRu.

Calculated values
polymorph energy (0 for the lowest one) = 0.542 eV per atom
energy relative to the elements = 632.3 meV per atom
total energy = -0.311 Ry/atom
magnetic moment = 1.1 μB/cell
V = 130.2 Å³/cell

a = 3.6657 Å, b = 3.6657 Å, c = 9.6918 Å
α = 90.00°, β = 90.00°, γ = 90.29°
With the nearest neighbours (Å) after each atom.
Fractional coordinates of all 4 atoms:
1 Ba 0.0000 0.0000 0.1959  4 Ru 3.21-3.22
2 Ba 0.0000 0.0000 0.8041  4 Ru 3.21-3.22
3 Sc 0.5000 0.5000 0.5000  4 Sc 3.67, 8 Ba 3.92-3.93
4 Ru 0.5000 0.5000 0.0000  8 Ba 3.21-3.22


No. 2
VASP calculation (PBE) on an optimized crystal structure of Ba2ScRu.

Calculated values
polymorph energy (0 for the lowest one) = 0.219 eV per atom
energy relative to the elements = 308.4 meV per atom
total energy = -0.335 Ry/atom
magnetic moment = 0.0 μB/cell
V = 351.6 Å³/cell

a = 8.8331 Å, b = 8.8331 Å, c = 8.8331 Å
α = 94.37°, β = 94.37°, γ = 147.94°
With the nearest neighbours (Å) after each atom.
Fractional coordinates of all 8 atoms:
1 Ba 0.3750 0.2051 0.3301  2 Ru 3.21
2 Ba 0.7949 0.1250 0.1699  2 Ru 3.21
3 Ba 0.8750 0.0449 0.6699  2 Ru 3.21
4 Ba 0.9551 0.6250 0.8301  2 Ru 3.21
5 Sc 0.2500 0.7500 0.5000  2 Ru 2.44
6 Sc 0.5000 0.5000 0.0000  2 Ru 2.44
7 Ru 0.0000 0.0000 0.0000  2 Sc 2.44
8 Ru 0.7500 0.2500 0.5000  2 Sc 2.44


No. 3
VASP calculation (PBE) on an optimized crystal structure of BaScRu2.

Calculated values
energy relative to the elements = 647.0 meV per atom
total energy = -0.445 Ry/atom
magnetic moment = 0.0 μB/cell
V = 81.8 Å³/cell

a = 5.7908 Å, b = 5.7908 Å, c = 5.7908 Å
α = 139.28°, β = 139.28°, γ = 58.95°
With the nearest neighbours (Å) after each atom.
Fractional coordinates of all 4 atoms:
1 Ba 0.0000 0.0000 0.0000  4 Ru 2.85
2 Sc 0.7500 0.2500 0.5000  4 Ru 2.85
3 Ru 0.2500 0.7500 0.5000  4 Sc 2.85
4 Ru 0.5000 0.5000 0.0000  4 Ba 2.85


No. 4
VASP calculation (PBE) on an optimized crystal structure of Ba2ScRu.

Calculated values
polymorph energy (0 for the lowest one) = 0.579 eV per atom
energy relative to the elements = 668.4 meV per atom
total energy = -0.308 Ry/atom
magnetic moment = 0.0 μB/cell
V = 116.3 Å³/cell

a = 4.6857 Å, b = 4.6857 Å, c = 5.2965 Å
α = 90.00°, β = 90.00°, γ = 90.00°
With the nearest neighbours (Å) after each atom.
Fractional coordinates of all 4 atoms:
1 Ba 0.0000 0.5000 0.0000  4 Ba 3.31, 4 Ru 3.54, 4 Sc 3.54
2 Ba 0.5000 0.0000 0.0000  4 Ba 3.31, 4 Ru 3.54, 4 Sc 3.54
3 Sc 0.0000 0.0000 0.5000  4 Ru 3.31, 8 Ba 3.54
4 Ru 0.5000 0.5000 0.5000  4 Sc 3.31, 8 Ba 3.54


No. 5
VASP calculation (PBE) on an optimized crystal structure of BaScRu2.

Calculated values
energy relative to the elements = 497.5 meV per atom
total energy = -0.456 Ry/atom
magnetic moment = 0.0 μB/cell
V = 222.2 Å³/cell

a = 9.5070 Å, b = 9.5070 Å, c = 9.5070 Å
α = 149.39°, β = 149.39°, γ = 43.84°
With the nearest neighbours (Å) after each atom.
Fractional coordinates of all 8 atoms:
1 Ba 0.0000 0.0000 0.0000  4 Sc 3.55, 8 Ru 3.56-3.57
2 Ba 0.7500 0.2500 0.5000  4 Sc 3.55, 8 Ru 3.56-3.57
3 Sc 0.2500 0.7500 0.5000  4 Ru 2.54
4 Sc 0.5000 0.5000 0.0000  4 Ru 2.54
5 Ru 0.3733 0.1250 0.7483  2 Ru 2.51, 2 Sc 2.54
6 Ru 0.3750 0.6267 0.7517  2 Ru 2.51, 2 Sc 2.54
7 Ru 0.3767 0.6250 0.2517  2 Ru 2.51, 2 Sc 2.54
8 Ru 0.8750 0.6233 0.2483  2 Ru 2.51, 2 Sc 2.54


No. 6
VASP calculation (PBE) on an optimized crystal structure of BaScRu2.

Calculated values
energy relative to the elements = 179.1 meV per atom
total energy = -0.479 Ry/atom
magnetic moment = 0.0 μB/cell
V = 108.6 Å³/cell

a = 4.2584 Å, b = 6.2940 Å, c = 6.2940 Å
α = 40.06°, β = 90.00°, γ = 90.00°
With the nearest neighbours (Å) after each atom.
Fractional coordinates of all 4 atoms:
1 Ba 0.0000 0.0000 0.0000  7 Ru 3.25-3.45
2 Sc 0.5000 0.7326 0.7326  2 Ru 2.63
3 Ru 0.0000 0.2748 0.2748  2 Ru 2.36
4 Ru 0.5000 0.3603 0.3603  2 Ru 2.36, 2 Sc 2.63